Ba2SrSe2Cl2: optimized geometry, GGA-PBE.

Properties
The calculation puts the density of states at the Fermi level at 0.000 states/eV per atom. The formation energy from raw total energies is -199 kJ/mol of atoms.

Unit cell a=5.8332 b=5.8332 c=8.8903 alpha=109.15 beta=109.15 gamma=90.00
With the nearest neighbours (Å) after each atom.
Fractional positions:
Se 0.5000 0.0000 0.0000  2 Sr 2.92
Se 0.0000 0.5000 0.0000  2 Sr 2.92
Cl 0.1909 0.1909 0.3819  1 Ba 2.97, 1 Sr 3.01
Cl 0.8091 0.8091 0.6181  1 Ba 2.97, 1 Sr 3.01
Sr 0.0000 0.0000 0.0000  4 Se 2.92, 2 Cl 3.01
Ba 0.3796 0.3796 0.7593  1 Cl 2.97
Ba 0.6204 0.6204 0.2407  1 Cl 2.97

Ba6I5N2: optimized geometry, GGA-PBE.

Properties
The calculation puts the density of states at the Fermi level at 0.231 states/eV per atom. The formation energy from raw total energies is -122 kJ/mol of atoms.

Unit cell a=4.4505 b=14.1051 c=16.9905 alpha=90.00 beta=90.00 gamma=90.00
With the nearest neighbours (Å) after each atom.
Fractional positions:
I 0.5000 0.4395 0.7573  6 Ba 3.52-3.61
I 0.5000 0.5000 0.0000  4 Ba 3.78, 2 I 4.21
I 0.5000 0.8323 0.9842  5 Ba 3.68-3.86
I 0.5000 0.9395 0.7427  6 Ba 3.52-3.61
I 0.5000 0.1677 0.0158  5 Ba 3.68-3.86
I 0.5000 0.6677 0.4842  5 Ba 3.68-3.86
I 0.5000 0.0605 0.2573  6 Ba 3.52-3.61
I 0.5000 0.3323 0.5158  5 Ba 3.68-3.86
I 0.5000 0.5605 0.2427  6 Ba 3.52-3.61
I 0.5000 0.0000 0.5000  4 Ba 3.78, 2 I 4.21
Ba 0.5000 0.1927 0.7109  2 N 2.66
Ba 0.0000 0.1727 0.3918  1 N 2.52
Ba 0.5000 0.6927 0.7891  2 N 2.66
Ba 0.5000 0.8073 0.2891  2 N 2.66
Ba 0.0000 0.4540 0.3764  1 N 2.45
Ba 0.0000 0.5460 0.6236  1 N 2.45
Ba 0.0000 0.9540 0.1236  1 N 2.45
Ba 0.0000 0.6727 0.1082  1 N 2.52
Ba 0.0000 0.3273 0.8918  1 N 2.52
Ba 0.0000 0.8273 0.6082  1 N 2.52
Ba 0.0000 0.0460 0.8764  1 N 2.45
Ba 0.5000 0.3073 0.2109  2 N 2.66
N 0.0000 0.3098 0.2964  4 Ba 2.45-2.66
N 0.0000 0.1902 0.7964  4 Ba 2.45-2.66
N 0.0000 0.6902 0.7036  4 Ba 2.45-2.66
N 0.0000 0.8098 0.2036  4 Ba 2.45-2.66

Ac2InS: optimized geometry, GGA-PBE.

Properties
For the energy above the most stable polymorph in this dataset, the calculation gives 112.7 meV/atom. The calculation puts the density of states at the Fermi level at 0.714 states/eV per atom. The formation energy from raw total energies is -97 kJ/mol of atoms.

Unit cell a=3.7418 b=3.7418 c=8.5323 alpha=90.00 beta=90.00 gamma=90.00
With the nearest neighbours (Å) after each atom.
Fractional positions:
Ac 0.0000 0.0000 0.7752  4 S 3.27, 4 In 3.54
Ac 0.0000 0.0000 0.2248  4 S 3.27, 4 In 3.54
In 0.5000 0.5000 0.5000  8 Ac 3.54, 4 In 3.74
S 0.5000 0.5000 0.0000  8 Ac 3.27

Sr2CdHg: optimized geometry, GGA-PBE.

Properties
The calculation puts the density of states at the Fermi level at 0.611 states/eV per atom. Its formation energy is -0.431 eV per atom.

Unit cell a=5.7053 b=5.7053 c=5.7053 alpha=60.00 beta=60.00 gamma=60.00
With the nearest neighbours (Å) after each atom.
Fractional positions:
Hg 0.5000 0.5000 0.5000  8 Sr 3.49
Sr 0.7500 0.7500 0.7500  4 Hg 3.49, 4 Cd 3.49
Sr 0.2500 0.2500 0.2500  4 Hg 3.49, 4 Cd 3.49
Cd 0.0000 0.0000 0.0000  8 Sr 3.49

SrMnTl2S4: optimized geometry, GGA-PBE.

Properties
The calculation puts the density of states at the Fermi level at 0.478 states/eV per atom. The formation energy from raw total energies is -73 kJ/mol of atoms.

Unit cell a=6.0380 b=9.1758 c=8.3959 alpha=90.00 beta=90.00 gamma=90.00
With the nearest neighbours (Å) after each atom.
Fractional positions:
Mn 0.5128 0.8101 0.5000  4 S 2.19-2.24
Mn 0.0128 0.1899 0.0000  4 S 2.19-2.24
Tl 0.9340 0.6439 0.7982  2 S 2.81-3.09
Tl 0.4340 0.3561 0.7018  2 S 2.81-3.09
Tl 0.4340 0.3561 0.2982  2 S 2.81-3.09
Tl 0.9340 0.6439 0.2018  2 S 2.81-3.09
S 0.9280 0.2962 0.2286  1 Mn 2.21
S 0.9280 0.2962 0.7714  1 Mn 2.21
S 0.3713 0.2233 0.0000  1 Mn 2.19
S 0.4445 0.0496 0.5000  1 Mn 2.24
S 0.9445 0.9504 0.0000  1 Mn 2.24
S 0.4280 0.7038 0.7286  1 Mn 2.21
S 0.4280 0.7038 0.2714  1 Mn 2.21
S 0.8713 0.7767 0.5000  1 Mn 2.19
Sr 0.9472 0.0899 0.5000  5 S 2.91-3.06
Sr 0.4472 0.9101 0.0000  5 S 2.91-3.06

Pm8Bi3: optimized geometry, GGA-PBE.

Properties
The calculation puts the density of states at the Fermi level at 1.447 states/eV per atom. Its formation energy is -0.192 eV per atom.

Unit cell a=7.3877 b=7.3877 c=7.3877 alpha=89.65 beta=89.65 gamma=89.65
With the nearest neighbours (Å) after each atom.
Fractional positions:
Pm 0.1336 0.8854 0.3170  2 Bi 3.16-3.30
Pm 0.6830 0.8664 0.1146  2 Bi 3.16-3.30
Pm 0.6393 0.6393 0.6393  3 Bi 3.03
Pm 0.8664 0.1146 0.6830  2 Bi 3.16-3.30
Pm 0.3607 0.3607 0.3607  3 Bi 3.03
Pm 0.1146 0.6830 0.8664  2 Bi 3.16-3.30
Pm 0.8854 0.3170 0.1336  2 Bi 3.16-3.30
Pm 0.3170 0.1336 0.8854  2 Bi 3.16-3.30
Bi 0.5000 0.5000 0.0000  6 Pm 3.03-3.30
Bi 0.0000 0.5000 0.5000  6 Pm 3.03-3.30
Bi 0.5000 0.0000 0.5000  6 Pm 3.03-3.30

SrLuPt4: optimized geometry, GGA-PBE.

Properties
The calculation puts the density of states at the Fermi level at 1.239 states/eV per atom. Its formation energy is -0.938 eV per atom.

Unit cell a=5.4806 b=5.4806 c=5.4806 alpha=60.00 beta=60.00 gamma=60.00
With the nearest neighbours (Å) after each atom.
Fractional positions:
Pt 0.1259 0.6247 0.6247  6 Pt 2.73-2.75
Pt 0.6247 0.6247 0.1259  6 Pt 2.73-2.75
Pt 0.6247 0.6247 0.6247  6 Pt 2.73-2.75
Pt 0.6247 0.1259 0.6247  6 Pt 2.73-2.75
Lu 0.2500 0.2500 0.2500  12 Pt 3.21, 4 Sr 3.36
Sr 0.0000 0.0000 0.0000  12 Pt 3.21, 4 Lu 3.36

Ba3MgPt: optimized geometry, GGA-PBE.

Properties
For the energy above the most stable polymorph in this dataset, the calculation gives 0.0 meV/atom. The calculation puts the density of states at the Fermi level at 0.732 states/eV per atom. Its formation energy is -0.335 eV per atom.

Unit cell a=6.2124 b=6.2124 c=6.2124 alpha=90.00 beta=90.00 gamma=90.00
With the nearest neighbours (Å) after each atom.
Fractional positions:
Ba 0.5000 0.0000 0.0000  2 Pt 3.11
Ba 0.0000 0.5000 0.0000  2 Pt 3.11
Ba 0.0000 0.0000 0.5000  2 Pt 3.11
Mg 0.5000 0.5000 0.5000  12 Ba 4.39
Pt 0.0000 0.0000 0.0000  6 Ba 3.11

GeOsSe2N: optimized geometry, GGA-PBE.

Properties
For the energy above the most stable polymorph in this dataset, the calculation gives 990.4 meV/atom. The calculation puts the density of states at the Fermi level at 1.235 states/eV per atom. The formation energy from raw total energies is 134 kJ/mol of atoms.

Unit cell a=5.0426 b=5.0426 c=3.4137 alpha=90.00 beta=90.00 gamma=90.00
With the nearest neighbours (Å) after each atom.
Fractional positions:
N 0.0000 0.0000 0.5000  2 Ge 1.71
Se 0.0000 0.5000 0.0000  2 Ge 2.52
Se 0.5000 0.0000 0.0000  2 Ge 2.52
Ge 0.0000 0.0000 0.0000  2 N 1.71
Os 0.5000 0.5000 0.5000  8 Se 3.04

Li2Ge3Pd: optimized geometry, GGA-PBE.

Properties
The calculation puts the density of states at the Fermi level at 0.348 states/eV per atom. Its formation energy is -0.110 eV per atom.

Unit cell a=5.3540 b=5.3540 c=8.3008 alpha=90.00 beta=90.00 gamma=120.00
With the nearest neighbours (Å) after each atom.
Fractional positions:
Li 0.6667 0.3333 0.5661  9 Ge 3.05-3.09, 6 Li 3.14-3.28
Li 0.3333 0.6667 0.4339  9 Ge 3.05-3.09, 6 Li 3.14-3.28
Li 0.0000 0.0000 0.0000  6 Ge 2.58
Li 0.0000 0.0000 0.5000  6 Ge 2.59
Pd 0.6667 0.3333 0.0010  3 Ge 2.57
Pd 0.3333 0.6667 0.9990  3 Ge 2.57
Ge 0.8332 0.1668 0.2491  1 Pd 2.57, 2 Li 2.58-2.59, 4 Ge 2.68
Ge 0.8332 0.6664 0.2491  1 Pd 2.57, 2 Li 2.58-2.59, 4 Ge 2.68
Ge 0.6664 0.8332 0.7509  1 Pd 2.57, 2 Li 2.58-2.59, 4 Ge 2.68
Ge 0.1668 0.3336 0.7509  1 Pd 2.57, 2 Li 2.58-2.59, 4 Ge 2.68
Ge 0.3336 0.1668 0.2491  1 Pd 2.57, 2 Li 2.58-2.59, 4 Ge 2.68
Ge 0.1668 0.8332 0.7509  1 Pd 2.57, 2 Li 2.58-2.59, 4 Ge 2.68

KSrSi4: optimized geometry, GGA-PBE.

Properties
For the energy above the most stable polymorph in this dataset, the calculation gives 23.2 meV/atom. The calculation puts the density of states at the Fermi level at 0.714 states/eV per atom. The formation energy from raw total energies is 4 kJ/mol of atoms.

Unit cell a=5.6800 b=5.6800 c=5.6800 alpha=60.00 beta=60.00 gamma=60.00
With the nearest neighbours (Å) after each atom.
Fractional positions:
Si 0.3617 0.9148 0.3617  3 Si 2.54
Si 0.9148 0.3617 0.3617  3 Si 2.54
Si 0.3617 0.3617 0.9148  3 Si 2.54
Si 0.3617 0.3617 0.3617  3 Si 2.54
Sr 0.7500 0.7500 0.7500  12 Si 3.37, 4 K 3.48
K 0.0000 0.0000 0.0000  12 Si 3.30, 4 Sr 3.48